(1)
DFT (PBE-GGA) results for a geometry-optimized NdErMgAg structure.

Calculated values
For the size of the total moment, the calculation gives 0.00 μB/atom. The value obtained for the total energy is -3.6256 eV per atom. For the distance to the lowest polymorph of the same formula, the calculation gives 0 meV per atom. As for the formation energy: -0.181 eV per atom.

Lattice parameters (Å, degrees): 3.7614 3.7614 7.4218 90.00 90.00 90.00
Space group P4mm (No. 99)
Inequivalent atoms, fractional coordinates:
Nd1 0.0000 0.0000 0.0000
Er1 0.0000 0.0000 0.4829
Mg1 0.5000 0.5000 0.7306
Ag1 0.5000 0.5000 0.2670

=====

(2)
DFT (PBE-GGA) results for a geometry-optimized ErMgNiAg structure.

Calculated values
For the size of the total moment, the calculation gives 0.00 μB/atom. The value obtained for the total energy is -3.9496 eV per atom. As for the formation energy: -0.252 eV per atom.

Lattice parameters (Å, degrees): 6.7177 6.7177 6.7177 90.00 90.00 90.00
Space group F-43m (No. 216)
Inequivalent atoms, fractional coordinates:
Er1 0.0000 0.0000 0.0000
Mg1 0.0000 0.0000 0.5000
Ni1 0.2500 0.2500 0.7500
Ag1 0.2500 0.2500 0.2500

=====

(3)
DFT (PBE-GGA) results for a geometry-optimized Er3Mg2Ag2Pb4 structure.

Calculated values
For the size of the total moment, the calculation gives 0.00 μB/atom. The value obtained for the total energy is -3.6775 eV per atom. As for the formation energy: -0.276 eV per atom.

Lattice parameters (Å, degrees): 4.7753 4.7753 14.7808 90.00 90.00 120.00
Space group P-3m1 (No. 164)
Inequivalent atoms, fractional coordinates:
Er1 0.0000 0.0000 0.0000
Er2 0.0000 0.0000 0.2600
Mg1 0.3333 0.6667 0.5710
Ag1 0.3333 0.6667 0.1576
Pb1 0.3333 0.6667 0.3646
Pb2 0.3333 0.6667 0.8907

=====

(4)
DFT (PBE-GGA) results for a geometry-optimized ErMgAgPd structure.

Calculated values
For the size of the total moment, the calculation gives 0.00 μB/atom. The value obtained for the total energy is -4.0998 eV per atom. As for the formation energy: -0.549 eV per atom.

Lattice parameters (Å, degrees): 6.8327 6.8327 6.8327 90.00 90.00 90.00
Space group F-43m (No. 216)
Inequivalent atoms, fractional coordinates:
Er1 0.0000 0.0000 0.0000
Mg1 0.0000 0.0000 0.5000
Ag1 0.2500 0.2500 0.7500
Pd1 0.2500 0.2500 0.2500

=====

(5)
DFT (PBE-GGA) results for a geometry-optimized PmErMgAg structure.

Calculated values
For the size of the total moment, the calculation gives 0.00 μB/atom. The value obtained for the total energy is -3.5793 eV per atom. For the distance to the lowest polymorph of the same formula, the calculation gives 44 meV per atom. As for the formation energy: -0.139 eV per atom.

Lattice parameters (Å, degrees): 7.4760 7.4760 7.4760 90.00 90.00 90.00
Space group F-43m (No. 216)
Inequivalent atoms, fractional coordinates:
Pm1 0.0000 0.0000 0.0000
Er1 0.0000 0.0000 0.5000
Mg1 0.2500 0.2500 0.2500
Ag1 0.2500 0.2500 0.7500

=====

(6)
DFT (PBE-GGA) results for a geometry-optimized PmErMgAg structure.

Calculated values
For the size of the total moment, the calculation gives 0.00 μB/atom. The value obtained for the total energy is -3.6231 eV per atom. For the distance to the lowest polymorph of the same formula, the calculation gives 0 meV per atom. As for the formation energy: -0.183 eV per atom.

Lattice parameters (Å, degrees): 3.7511 3.7511 7.3855 90.00 90.00 90.00
Space group P4mm (No. 99)
Inequivalent atoms, fractional coordinates:
Pm1 0.0000 0.0000 0.0000
Er1 0.0000 0.0000 0.4828
Mg1 0.5000 0.5000 0.7324
Ag1 0.5000 0.5000 0.2625